# CuAg3O

A relaxed structure of CuAg3O (PBE, the Alexandria database).

calculated volume: 17.39 Å³ per atom
electronic total energy: -16.1 eV per cell
uncorrected formation energy: 0.30 eV per atom
SG: No. 221

a = 4.4301 Å, b = 4.4301 Å, c = 4.4301 Å
α = 90.00°, β = 90.00°, γ = 90.00°
Element x y z (fractional)
Cu (0.0000, 0.0000, 0.0000)
Ag (0.0000, 0.5000, 0.5000)
Ag (0.5000, 0.0000, 0.5000)
Ag (0.5000, 0.5000, 0.0000)
O (0.5000, 0.5000, 0.5000)